## BaCdRe (PBE)

Data for a geometry-optimized BaCdRe structure.

Values from the calculation:
Its symmetry is I4mm, No. 107. As for the density of states at the Fermi level: 2.8 states/eV per cell. For the distance to the lowest polymorph of the same formula, the calculation gives 74.6 meV per atom. The value obtained for the formation energy is 0.983 eV per atom.

The structure in POSCAR format:
```
BaCdRe
1.0
7.909 -0.009 0.009
7.309 3.021 0.035
0.600 0.094 3.029
Re Ba Cd
1 1 1
Direct
0.681 0.681 0.319 Re
0.009 0.009 0.991 Ba
0.311 0.311 0.689 Cd
```



## BaCd2Re (PBE)

Data for a geometry-optimized BaCd2Re structure.

Values from the calculation:
Its symmetry is R-3m, No. 166. As for the density of states at the Fermi level: 3.4 states/eV per cell. For the distance to the lowest polymorph of the same formula, the calculation gives 156.9 meV per atom. The value obtained for the formation energy is 0.771 eV per atom.

The structure in POSCAR format:
```
BaCd2Re
1.0
11.138 -0.008 -0.005
10.713 3.046 -0.005
10.713 1.490 2.657
Re Ba Cd
1 1 2
Direct
0.250 0.250 0.250 Re
0.750 0.750 0.750 Ba
0.988 0.988 0.988 Cd
0.512 0.512 0.512 Cd
```